DFT (GGA-PBE) results for a relaxed Zr2BeCr crystal.

Values from the calculation:
Energy of formation: 0.21 eV/atom
Volume: 68 Å³/f.u.
Space-group type: I-4m2 (119)

Cell lengths 5.2016, 5.2016, 5.2016 Å; angles 135.53, 135.53, 64.71 degrees
Last column: nearest neighbours and their distance in Å.
Positions (direct):
Cr1 0.7500 0.2500 0.5000  8 Zr 2.78-2.95, 4 Be 2.95
Zr1 0.0000 0.0000 0.0000  4 Be 2.78, 4 Zr 2.95, 4 Cr 2.95
Be1 0.5000 0.5000 0.0000  8 Zr 2.78-2.95, 4 Cr 2.95
Zr2 0.2500 0.7500 0.5000  4 Cr 2.78, 4 Be 2.95, 4 Zr 2.95